First-principles (PBE-GGA) data for a relaxed structure of Ti5CdRe4, as listed in Alexandria.

```
Ti5CdRe4
1.0
3.150 0.000 0.000
0.000 3.150 0.000
0.000 0.000 16.123
Ti Cd Re
5 1 4
direct
0.500 0.500 0.123
0.500 0.500 0.309
0.500 0.500 0.500
0.500 0.500 0.691
0.500 0.500 0.877
0.000 0.000 0.000
0.000 0.000 0.209
0.000 0.000 0.404
0.000 0.000 0.596
0.000 0.000 0.791
```

Computed properties:
Formation energy from the elements in eV per atom: -0.34
Space group: No. 123
Magnetic moment in μB per formula unit: 0.00
D(E_F) in states/eV per atom: 0.887
Crystal system: tetragonal

***

First-principles (PBE-GGA) data for a relaxed structure of HfScIn, as listed in Alexandria.

```
HfScIn
1.0
3.388 0.000 0.000
0.000 9.740 0.000
0.000 0.000 8.412
Hf Sc In
4 4 4
direct
0.250 0.596 0.103
0.750 0.404 0.897
0.750 0.096 0.397
0.250 0.904 0.603
0.250 0.158 0.066
0.750 0.658 0.434
0.250 0.342 0.566
0.750 0.842 0.934
0.750 0.375 0.262
0.750 0.125 0.762
0.250 0.625 0.738
0.250 0.875 0.238
```

Computed properties:
Formation energy from the elements in eV per atom: -0.17
Space group: No. 62
Magnetic moment in μB per formula unit: 0.00
D(E_F) in states/eV per atom: 1.040
Excess energy over the best structure of this formula in the dataset in eV per atom: 0.060
Crystal system: orthorhombic

***

First-principles (PBE-GGA) data for a relaxed structure of CuHgS, as listed in Alexandria.

```
CuHgS
1.0
-1.265 2.680 -2.391
2.223 -3.312 -4.889
-5.372 -1.027 1.692
Cu Hg S
2 2 2
direct
0.250 0.657 0.589
0.750 0.343 0.411
0.750 0.111 0.727
0.250 0.889 0.273
0.750 0.674 0.823
0.250 0.326 0.177
```

Computed properties:
Space group: No. 11
Magnetic moment in μB per formula unit: 0.00
D(E_F) in states/eV per atom: 0.585
Excess energy over the best structure of this formula in the dataset in eV per atom: 0.050
E_form (uncorrected) in eV/atom: 0.014
Crystal system: monoclinic

***

First-principles (PBE-GGA) data for a relaxed structure of Pr2Si2Pt, as listed in Alexandria.

```
Pr2Si2Pt
1.0
4.300 0.000 0.000
2.150 5.542 -0.098
2.150 0.687 9.683
Pr Si Pt
4 4 2
direct
0.712 0.222 0.354
0.895 0.307 0.902
0.288 0.778 0.646
0.105 0.693 0.098
0.035 0.343 0.588
0.607 0.898 0.889
0.965 0.657 0.412
0.393 0.102 0.111
0.556 0.202 0.686
0.444 0.798 0.314
```

Computed properties:
Space group: No. 12
Magnetic moment in μB per formula unit: 0.00
D(E_F) in states/eV per atom: 0.601
E_form (uncorrected) in eV/atom: -0.949
Crystal system: monoclinic

***

First-principles (PBE-GGA) data for a relaxed structure of BeSnBi2H, as listed in Alexandria.

```
BeSnBi2H
1.0
-5.586 -0.186 -0.792
0.483 -0.738 -3.235
0.005 -5.503 1.256
Be Bi H Sn
1 2 1 1
direct
0.000 0.500 0.000
0.000 0.000 0.500
0.500 0.000 0.000
0.000 0.000 0.000
0.500 0.500 0.500
```

Computed properties:
Space group: No. 123
Energy in eV/atom: -3.24
Magnetic moment in μB per formula unit: 0.00
D(E_F) in states/eV per atom: 0.513
Crystal system: tetragonal

***

First-principles (PBE-GGA) data for a relaxed structure of LiFe3S, as listed in Alexandria.

```
LiFe3S
1.0
-1.113 -3.750 1.446
3.035 0.199 2.854
-2.635 1.814 2.676
S Fe Li
1 3 1
direct
0.000 0.000 0.000
0.000 0.500 0.000
0.000 0.000 0.500
0.500 0.000 0.000
0.500 0.500 0.500
```

Computed properties:
Space group: No. 221
Magnetic moment in μB per formula unit: 6.18
D(E_F) in states/eV per atom: 0.816
Excess energy over the best structure of this formula in the dataset in eV per atom: 0.000
E_form (uncorrected) in eV/atom: 0.183
Crystal system: cubic

***

First-principles (PBE-GGA) data for a relaxed structure of SrAc2Al3Au12, as listed in Alexandria.

```
SrAc2Al3Au12
1.0
-2.591 -5.764 5.406
5.513 -1.668 5.998
-2.107 3.096 7.425
Sr Ac Al Au
1 2 3 12
direct
0.000 0.000 0.000
0.600 0.600 0.600
0.400 0.400 0.400
0.500 0.000 0.000
0.000 0.500 0.000
0.000 0.000 0.500
0.312 0.312 0.847
0.850 0.850 0.407
0.407 0.850 0.850
0.847 0.312 0.312
0.850 0.407 0.850
0.312 0.847 0.312
0.688 0.688 0.153
0.150 0.150 0.593
0.593 0.150 0.150
0.153 0.688 0.688
0.150 0.593 0.150
0.688 0.153 0.688
```

Computed properties:
Formation energy from the elements in eV per atom: -0.30
Space group: No. 166
Magnetic moment in μB per formula unit: 0.00
D(E_F) in states/eV per atom: 0.296
Crystal system: trigonal

***

First-principles (PBE-GGA) data for a relaxed structure of LuNiGe2, as listed in Alexandria.

```
LuNiGe2
1.0
-2.352 1.376 2.917
-3.734 1.148 -0.821
-3.661 -3.834 1.588
Ni Ge Lu
1 2 1
direct
0.000 0.000 0.000
0.721 0.721 0.838
0.279 0.279 0.162
0.500 0.500 0.500
```

Computed properties:
Formation energy from the elements in eV per atom: -0.58
Space group: No. 166
Magnetic moment in μB per formula unit: 0.00
D(E_F) in states/eV per atom: 0.269
Crystal system: trigonal

***

First-principles (PBE-GGA) data for a relaxed structure of NbV3Rh, as listed in Alexandria.

```
NbV3Rh
1.0
4.531 0.000 0.000
0.000 4.531 0.000
0.000 0.000 4.531
Nb Rh V
1 1 3
direct
0.000 0.000 0.000
0.500 0.500 0.500
0.000 0.500 0.000
0.000 0.000 0.500
0.500 0.000 0.000
```

Computed properties:
Formation energy from the elements in eV per atom: 1.49
Space group: No. 221
Magnetic moment in μB per formula unit: 3.45
D(E_F) in states/eV per atom: 1.571
Excess energy over the best structure of this formula in the dataset in eV per atom: 0.431
Crystal system: cubic

***

First-principles (PBE-GGA) data for a relaxed structure of CoTc2Au, as listed in Alexandria.

```
CoTc2Au
1.0
4.070 0.000 0.000
0.000 3.752 0.000
0.000 0.000 3.752
Au Co Tc
1 1 2
direct
0.500 0.500 0.000
0.500 0.000 0.500
0.000 0.000 0.000
0.000 0.500 0.500
```

Computed properties:
Formation energy from the elements in eV per atom: 0.28
Space group: No. 123
Magnetic moment in μB per formula unit: 1.47
D(E_F) in states/eV per atom: 0.860
Excess energy over the best structure of this formula in the dataset in eV per atom: 0.077
Crystal system: tetragonal

***

First-principles (PBE-GGA) data for a relaxed structure of CeYTaO6, as listed in Alexandria.

```
CeYTaO6
1.0
-1.126 3.869 3.853
2.590 -4.716 1.459
8.423 4.111 -1.666
Ce Y Ta O
2 2 2 12
direct
0.000 0.000 0.000
0.000 0.000 0.500
0.333 0.667 0.250
0.667 0.333 0.750
0.667 0.333 0.250
0.333 0.667 0.750
0.675 0.639 0.134
0.964 0.325 0.134
0.325 0.964 0.634
0.036 0.675 0.866
0.361 0.325 0.366
0.964 0.639 0.366
0.639 0.964 0.866
0.675 0.036 0.366
0.036 0.361 0.634
0.361 0.036 0.134
0.639 0.675 0.634
0.325 0.361 0.866
```

Computed properties:
Space group: No. 163
Magnetic moment in μB per formula unit: 0.00
E_form (uncorrected) in eV/atom: -3.185
Crystal system: trigonal

***

First-principles (PBE-GGA) data for a relaxed structure of La4Pm2YTm2, as listed in Alexandria.

```
La4Pm2YTm2
1.0
-1.649 4.287 2.426
-3.747 -0.470 -7.277
-4.188 -4.561 5.214
La Pm Y Tm
4 2 1 2
direct
0.776 0.552 0.669
0.224 0.448 0.331
0.554 0.108 0.329
0.446 0.892 0.671
0.888 0.775 0.330
0.112 0.225 0.670
0.000 0.000 0.000
0.332 0.664 0.000
0.668 0.336 0.000
```

Computed properties:
Formation energy from the elements in eV per atom: 0.03
Space group: No. 12
Magnetic moment in μB per formula unit: 0.00
D(E_F) in states/eV per atom: 1.794
Crystal system: monoclinic

***

First-principles (PBE-GGA) data for a relaxed structure of HfZr2ReAg, as listed in Alexandria.

```
HfZr2ReAg
1.0
-1.681 2.505 -4.206
-4.273 0.344 1.913
1.330 4.513 2.157
Re Hf Zr Ag
1 1 2 1
direct
0.000 0.500 0.000
0.000 0.000 0.000
0.000 0.000 0.500
0.500 0.000 0.000
0.500 0.500 0.500
```

Computed properties:
Formation energy from the elements in eV per atom: 1.44
Space group: No. 123
Magnetic moment in μB per formula unit: 0.00
D(E_F) in states/eV per atom: 1.050
Crystal system: tetragonal

***

First-principles (PBE-GGA) data for a relaxed structure of CaPm3Mg4, as listed in Alexandria.

```
CaPm3Mg4
1.0
5.485 0.000 0.000
0.000 7.802 0.000
0.000 0.000 10.972
Ca Mg Pm
2 8 6
direct
0.000 0.500 0.000
0.000 0.500 0.500
0.500 0.752 0.000
0.500 0.752 0.500
0.500 0.248 0.000
0.500 0.248 0.500
0.000 0.752 0.750
0.000 0.752 0.250
0.000 0.248 0.250
0.000 0.248 0.750
0.000 0.000 0.000
0.000 0.000 0.500
0.500 0.000 0.750
0.500 0.000 0.250
0.500 0.500 0.750
0.500 0.500 0.250
```

Computed properties:
Formation energy from the elements in eV per atom: -0.09
Space group: No. 123
Magnetic moment in μB per formula unit: 0.00
D(E_F) in states/eV per atom: 1.075
Crystal system: tetragonal

***

First-principles (PBE-GGA) data for a relaxed structure of CaCd2Pb, as listed in Alexandria.

```
CaCd2Pb
1.0
4.895 0.000 0.000
0.000 3.702 0.222
0.000 1.405 6.243
Pb Ca Cd
1 1 2
direct
0.000 0.457 0.463
0.500 0.787 0.789
0.000 0.187 0.996
0.500 0.069 0.252
```

Computed properties:
Formation energy from the elements in eV per atom: -0.22
Space group: No. 6
Magnetic moment in μB per formula unit: 0.00
D(E_F) in states/eV per atom: 0.348
Crystal system: monoclinic

***

First-principles (PBE-GGA) data for a relaxed structure of Pr6Y2Tm3, as listed in Alexandria.

```
Pr6Y2Tm3
1.0
4.754 0.000 0.000
0.000 4.754 0.000
-2.377 -2.377 17.240
Pr Y Tm
6 2 3
direct
0.121 0.621 0.241
0.621 0.121 0.241
0.879 0.379 0.759
0.379 0.879 0.759
0.708 0.708 0.416
0.292 0.292 0.584
0.455 0.455 0.910
0.545 0.545 0.090
0.000 0.000 0.000
0.807 0.807 0.614
0.193 0.193 0.386
```

Computed properties:
Formation energy from the elements in eV per atom: 0.31
Space group: No. 139
Magnetic moment in μB per formula unit: 0.00
D(E_F) in states/eV per atom: 1.481
Excess energy over the best structure of this formula in the dataset in eV per atom: 0.288
Crystal system: tetragonal

***

First-principles (PBE-GGA) data for a relaxed structure of RbTcSN2, as listed in Alexandria.

```
RbTcSN2
1.0
4.386 0.000 0.000
0.000 4.386 0.000
0.000 0.000 6.413
S Tc Rb N
1 1 1 2
direct
0.000 0.000 0.500
0.500 0.500 0.500
0.000 0.000 0.000
0.000 0.500 0.000
0.500 0.000 0.000
```

Computed properties:
Space group: No. 123
Magnetic moment in μB per formula unit: 7.91
D(E_F) in states/eV per atom: 0.707
Excess energy over the best structure of this formula in the dataset in eV per atom: 2.570
E_form (uncorrected) in eV/atom: 2.949
Crystal system: tetragonal

***

First-principles (PBE-GGA) data for a relaxed structure of RbLiTcF2, as listed in Alexandria.

```
RbLiTcF2
1.0
4.492 0.000 0.000
0.000 4.937 0.000
0.000 0.000 4.492
Li Tc Rb F
1 1 1 2
direct
0.000 0.000 0.000
0.000 0.500 0.000
0.500 0.500 0.500
0.000 0.000 0.500
0.500 0.000 0.000
```

Computed properties:
Space group: No. 123
Magnetic moment in μB per formula unit: 4.94
D(E_F) in states/eV per atom: 0.612
E_form (uncorrected) in eV/atom: -0.465
Crystal system: tetragonal

***

First-principles (PBE-GGA) data for a relaxed structure of Na2AgRu, as listed in Alexandria.

```
Na2AgRu
1.0
-3.051 -3.730 0.268
-4.753 0.735 -0.411
-2.340 -1.493 -3.949
Ru Ag Na
1 1 2
direct
0.000 0.000 0.000
0.500 0.500 0.500
0.250 0.250 0.250
0.750 0.750 0.750
```

Computed properties:
Formation energy from the elements in eV per atom: 0.84
Space group: No. 225
Magnetic moment in μB per formula unit: 1.52
D(E_F) in states/eV per atom: 2.209
Excess energy over the best structure of this formula in the dataset in eV per atom: 0.000
Crystal system: cubic

***

First-principles (PBE-GGA) data for a relaxed structure of YHfGa2, as listed in Alexandria.

```
YHfGa2
1.0
-3.655 -1.244 -0.784
1.647 -2.830 -3.187
0.443 -3.284 3.146
Y Hf Ga
1 1 2
direct
0.500 0.000 0.000
0.500 0.500 0.500
0.000 0.000 0.500
0.000 0.500 0.000
```

Computed properties:
Formation energy from the elements in eV per atom: -0.39
Space group: No. 123
Magnetic moment in μB per formula unit: 0.00
D(E_F) in states/eV per atom: 0.737
Excess energy over the best structure of this formula in the dataset in eV per atom: 0.038
Crystal system: tetragonal